A relaxed LaIr2Cl crystal, computed with PBE-GGA.

Cell: 3.117 3.117 7.886 Å, 90.00 90.00 90.00°
Fractional coordinates of all 4 atoms:
La (0.000, 0.000, 0.000)
Ir (0.500, 0.500, 0.277)
Ir (0.500, 0.500, 0.723)
Cl (0.000, 0.000, 0.500)

The excess energy over the best structure of this formula in the dataset comes out at 1.089 eV per atom. As for the uncorrected formation energy: 464.3 meV/atom.